## w
Tb4Pm4Pb: relaxed, GGA-PBE.

Density: 8.2 g/cm³

a b c (Å): 8.0629 8.0629 8.0629
angles (deg): 95.30 95.30 144.63
With the nearest neighbours (Å) after each atom.
Atoms (fractional coordinates):
Tb 0.1610 0.1610 0.3219  2 Pb 3.48, 4 Tb 3.50-3.67, 6 Pm 3.55-3.68
Tb 0.1610 0.8390 0.0000  2 Pb 3.48, 4 Tb 3.50-3.67, 6 Pm 3.55-3.68
Tb 0.8390 0.1610 0.0000  2 Pb 3.48, 4 Tb 3.50-3.67, 6 Pm 3.55-3.68
Tb 0.8390 0.8390 0.6781  2 Pb 3.48, 4 Tb 3.50-3.67, 6 Pm 3.55-3.68
Pm 0.1660 0.5000 0.6660  5 Pm 3.54-3.61, 6 Tb 3.55-3.68, 1 Pb 3.63
Pm 0.5000 0.1660 0.6660  5 Pm 3.54-3.61, 6 Tb 3.55-3.68, 1 Pb 3.63
Pm 0.5000 0.8340 0.3340  5 Pm 3.54-3.61, 6 Tb 3.55-3.68, 1 Pb 3.63
Pm 0.8340 0.5000 0.3340  5 Pm 3.54-3.61, 6 Tb 3.55-3.68, 1 Pb 3.63
Pb 0.5000 0.5000 0.0000  8 Tb 3.48, 4 Pm 3.63

---

## x
Tb4Pm4Pb: relaxed, GGA-PBE.

Density: 8.0 g/cm³

a b c (Å): 3.6003 8.2178 10.3279
angles (deg): 77.42 80.11 89.52
With the nearest neighbours (Å) after each atom.
Atoms (fractional coordinates):
Tb 0.0755 0.2066 0.3734  4 Pm 3.39-3.61, 2 Pb 3.46-3.49, 5 Tb 3.60-3.79
Tb 0.2888 0.8588 0.9234  6 Pm 3.40-3.68, 6 Tb 3.55-3.68
Tb 0.7112 0.1412 0.0766  6 Pm 3.40-3.68, 6 Tb 3.55-3.68
Tb 0.9245 0.7934 0.6266  4 Pm 3.39-3.61, 2 Pb 3.46-3.49, 5 Tb 3.60-3.79
Pm 0.1026 0.8003 0.2923  2 Pb 3.38-3.40, 5 Tb 3.39-3.68, 4 Pm 3.47-3.60
Pm 0.3187 0.4720 0.8563  5 Tb 3.40-3.61, 6 Pm 3.47-3.60, 1 Pb 3.58
Pm 0.6813 0.5280 0.1437  5 Tb 3.40-3.61, 6 Pm 3.47-3.60, 1 Pb 3.58
Pm 0.8974 0.1997 0.7077  2 Pb 3.38-3.40, 5 Tb 3.39-3.68, 4 Pm 3.47-3.60
Pb 0.5000 0.5000 0.5000  6 Pm 3.38-3.58, 4 Tb 3.46-3.49, 2 Pb 3.60

---

Which of them is most stable? Easy: w.